DFT (PBE+U) results for a relaxed structure of KNa2MnO4.

a b c (Å): 5.7855 5.7855 7.4340
angles (deg): 90.00 90.00 90.00
Space group I-42m (No. 121)
Asymmetric unit:
K (0.0000, 0.0000, 0.0000) x2
Na (0.0000, 0.5000, 0.2500) x4
Mn (0.0000, 0.0000, 0.5000) x2
O (0.1740, 0.1740, 0.6312) x8

Output
D(E_F) ... 0.000 states/eV/atom
Density ... 2.72 g cm⁻³
E ... -85.441 eV per cell